Entry from Alexandria via LeMat-Bulk: a crystal of CrAsIr relaxed with PBEsol (SCAN).

Results
- Formation energy: -0.204 eV/atom
- VASP energy: -110.3 eV for the cell shown

Cell and atoms, written as POSCAR:
```
CrAsIr
1.0
-1.2577 1.9450 -1.5837
-2.7955 -2.8262 -1.2509
-0.7346 2.2939 3.4007
As Cr Ir
1 1 1
direct
0.5000 0.0000 0.0000
0.0000 0.3333 0.6667
0.5000 0.6667 0.3333
```

---

Entry from Alexandria via LeMat-Bulk: a crystal of CrAsIr2 relaxed with PBEsol (SCAN).

Results
- Formation energy: -0.026 eV/atom
- VASP energy: -180.9 eV for the cell shown

Cell and atoms, written as POSCAR:
```
CrAsIr2
1.0
-2.0820 -1.0099 -1.4774
2.4132 -0.8111 -2.8464
1.8786 -4.2377 2.8002
As Cr Ir
1 1 2
direct
0.1700 0.0000 0.3399
0.5636 0.5000 0.1272
0.9438 0.0000 0.8875
0.3107 0.5000 0.6214
```

---

Entry from Alexandria via LeMat-Bulk: a crystal of CrAs2IrSe relaxed with PBEsol (SCAN).

Results
- Raw formation energy: 0.9837 eV per atom
- VASP energy: -145.0 eV for the cell shown

Cell and atoms, written as POSCAR:
```
CrAs2IrSe
1.0
-1.9315 -2.4942 3.1531
-3.0967 -1.3568 -2.9703
2.6202 -3.4755 -1.1441
Cr As Ir Se
1 2 1 1
direct
0.0000 0.0000 0.0000
0.0000 0.0000 0.5000
0.0000 0.5000 0.0000
0.5000 0.5000 0.5000
0.5000 0.0000 0.0000
```

---

no.,total moment (μB/f.u.)
1,3.06
2,0.00
3,0.00